# 1
VASP calculation (PBE+U) on a geometry-optimized Ac2MnMoO6 structure.

Calculated values
DOS at the Fermi energy   2.13 states/eV/cell
Uncorrected energy   -7.723 eV per atom

a = 5.867 Å, b = 5.867 Å, c = 4.024 Å
α = 90.00°, β = 90.00°, γ = 90.00°
Fractional coordinates of all 10 atoms:
Ac 0.000 0.500 0.000
Ac 0.500 0.000 0.000
Mn 0.000 0.000 0.500
Mo 0.500 0.500 0.500
O 0.000 0.000 0.000
O 0.250 0.250 0.500
O 0.250 0.750 0.500
O 0.500 0.500 0.000
O 0.750 0.250 0.500
O 0.750 0.750 0.500

***

# 2
VASP calculation (PBE+U) on a geometry-optimized Ac2MnMoO8 structure.

Calculated values
DOS at the Fermi energy   6.64 states/eV/cell
Uncorrected energy   -7.397 eV per atom

a = 4.471 Å, b = 5.560 Å, c = 7.126 Å
α = 85.17°, β = 88.60°, γ = 83.76°
Fractional coordinates of all 12 atoms:
Ac 0.195 0.020 0.251
Ac 0.805 0.980 0.749
Mn 0.500 0.500 0.000
Mo 0.500 0.500 0.500
O 0.192 0.749 0.556
O 0.298 0.817 0.950
O 0.301 0.239 0.622
O 0.311 0.472 0.248
O 0.689 0.528 0.752
O 0.699 0.761 0.378
O 0.702 0.183 0.050
O 0.808 0.251 0.444